{"formula": "Ta2AsIr", "functional": "GGA-PBE", "state": "optimized geometry", "cell": [[9.191, -0.016, -0.009], [8.735, 2.860, -0.009], [8.735, 1.386, 2.501]], "species": ["Ir", "Ta", "Ta", "As"], "frac_coords": [[0.750, 0.750, 0.750], [0.500, 0.500, 0.500], [0.000, 0.000, 0.000], [0.250, 0.250, 0.250]], "dos_at_fermi_per_ev_cell": 2.28, "space_group": "R-3m (166)", "crystal_system": "trigonal"}

{"formula": "TaAsIr2", "functional": "GGA-PBE", "state": "optimized geometry", "cell": [[4.766, 0.007, 0.000], [-1.477, 4.531, 0.000], [0.000, 0.000, 2.933]], "species": ["Ta", "Ir", "Ir", "As"], "frac_coords": [[0.500, 0.000, 0.500], [0.000, 0.000, 0.000], [0.500, 0.500, 0.000], [0.000, 0.500, 0.500]], "dos_at_fermi_per_ev_cell": 1.90, "space_group": "Cmmm (65)", "crystal_system": "orthorhombic"}

Total DFT energy (no corrections) for every record listed, in sequence, given in eV per atom: -9.398 -8.700.
Energy relative to the elements for every record listed, in sequence, given in kJ/mol of atoms: -9 -14.